A plane-wave DFT calculation with PBE with a Hubbard U was carried out for Zn2CoF2 after structural relaxation.

## Properties
For the final energy, the calculation gives -27.52 eV for the cell shown. The energy above the lowest structure with this stoichiometry comes out at 416 meV/atom. The density of states at the Fermi level comes out at 1.90 states/eV/f.u.

Lattice parameters (Å, degrees): 7.242 7.242 2.573 90.00 90.00 90.00
Element x y z (fractional)
Zn  0.351  0.851  0.000
Zn  0.851  0.649  0.000
Zn  0.649  0.149  0.000
Zn  0.149  0.351  0.000
Co  0.000  0.000  0.000
Co  0.500  0.500  0.000
F  0.117  0.617  0.500
F  0.617  0.883  0.500
F  0.883  0.383  0.500
F  0.383  0.117  0.500